1.
## InMoBr (PBE)

Data for a relaxed InMoBr crystal.

The structure in POSCAR format:
```
InMoBr
1.0
-1.802 0.644 -2.536
0.304 -2.996 1.013
-6.061 0.921 4.541
Mo Br In
1 1 1
Direct
0.333 0.667 0.691 Mo
0.000 0.000 0.927 Br
0.667 0.333 0.382 In
```

The calculation puts the raw formation energy at 0.289 eV per atom. For the theoretical density, the calculation gives 7.24 g/cm3. As for the distance to the lowest polymorph of the same formula: 0 meV/atom. Its magnetic moment is 0.00 Bohr magnetons per cell.

2.
## InMoBr2 (PBE)

Data for a relaxed InMoBr2 crystal.

The structure in POSCAR format:
```
InMoBr2
1.0
10.058 -0.065 -0.038
9.515 3.261 -0.038
9.515 1.554 2.867
Mo Br In
1 2 1
Direct
0.750 0.750 0.750 Mo
0.023 0.023 0.023 Br
0.477 0.477 0.477 Br
0.250 0.250 0.250 In
```

The calculation puts the raw formation energy at 0.095 eV per atom. For the theoretical density, the calculation gives 6.34 g/cm3. As for the distance to the lowest polymorph of the same formula: 181 meV/atom. Its magnetic moment is 0.00 Bohr magnetons per cell.

3.
## In2MoBr (PBE)

Data for a relaxed In2MoBr crystal.

The structure in POSCAR format:
```
In2MoBr
1.0
-0.377 -5.147 1.411
2.157 1.141 4.762
-2.813 0.521 1.150
Mo Br In
1 1 2
Direct
0.500 0.000 0.500 Mo
0.000 0.500 0.500 Br
0.000 0.000 0.000 In
0.500 0.500 0.000 In
```

The calculation puts the raw formation energy at 0.362 eV per atom. For the theoretical density, the calculation gives 7.63 g/cm3. As for the distance to the lowest polymorph of the same formula: 201 meV/atom. Its magnetic moment is 0.99 Bohr magnetons per cell.